(1)
Density functional theory data (GGA-PBE) for a relaxed structure of Cr4CdAgSe8.

Cell: 7.630 7.630 7.630 Å, 60.00 60.00 60.00°
Atoms (fractional coordinates):
Se 0.359 0.359 0.922
Se 0.359 0.359 0.359
Cr 0.123 0.123 0.123
Cr 0.123 0.630 0.123
Ag 0.750 0.750 0.750
Se 0.332 0.889 0.889
Cd 0.500 0.500 0.500
Cr 0.123 0.123 0.630
Se 0.889 0.889 0.889
Se 0.359 0.922 0.359
Se 0.889 0.889 0.332
Se 0.922 0.359 0.359
Se 0.889 0.332 0.889
Cr 0.630 0.123 0.123

Calculated values
The density of states at the Fermi level comes out at 6.252 states/eV/f.u. Its total energy is -5.507 eV per atom. The uncorrected formation energy comes out at -0.4973 eV per atom. Its space group is F-43m, No. 216. The volume is 314.06 Å³ per cell.

---

(2)
Density functional theory data (GGA-PBE) for a relaxed structure of VCr2CdAg.

Cell: 4.356 5.035 4.356 Å, 90.00 90.00 90.00°
Atoms (fractional coordinates):
Ag 0.000 0.500 0.000
Cd 0.500 0.500 0.500
Cr 0.500 0.000 0.000
V 0.000 0.000 0.000
Cr 0.000 0.000 0.500

Calculated values
The density of states at the Fermi level comes out at 3.041 states/eV/f.u. Its total energy is -5.389 eV per atom. As for the formation energy: 1038 meV/atom. Its space group is P4/mmm, No. 123. The volume is 95.53 Å³ per cell.

---

(3)
Density functional theory data (GGA-PBE) for a relaxed structure of ZrCrCd2Ag.

Cell: 4.912 4.733 4.912 Å, 90.00 90.00 90.00°
Atoms (fractional coordinates):
Cd 0.000 0.000 0.500
Cr 0.000 0.000 0.000
Zr 0.500 0.500 0.500
Cd 0.500 0.000 0.000
Ag 0.000 0.500 0.000

Calculated values
The density of states at the Fermi level comes out at 5.724 states/eV/f.u. Its total energy is -3.487 eV per atom. As for the formation energy: 1084 meV/atom. Its space group is P4/mmm, No. 123. The volume is 114.22 Å³ per cell.

---

(4)
Density functional theory data (GGA-PBE) for a relaxed structure of Cs2CdAg.

Cell: 5.128 5.128 12.482 Å, 78.15 78.15 60.00°
Atoms (fractional coordinates):
Cs 0.907 0.907 0.279
Cd 0.500 0.500 0.500
Ag 0.000 0.000 0.000
Cs 0.093 0.093 0.721

Calculated values
The density of states at the Fermi level comes out at 3.348 states/eV/f.u. Its total energy is -1.030 eV per atom. As for the formation energy: 338 meV/atom. The energy above the most stable polymorph in this dataset is 36.2 kJ/mol of atoms. Its space group is R-3m, No. 166. The volume is 276.18 Å³ per cell.

---

(5)
Density functional theory data (GGA-PBE) for a relaxed structure of Cs6Cd2Ag.

Cell: 11.556 11.556 11.556 Å, 67.65 70.76 106.87°
Atoms (fractional coordinates):
Ag 0.000 0.000 0.000
Cs 0.826 0.262 0.912
Cs 0.557 0.754 0.197
Cs 0.673 0.384 0.289
Ag 0.500 0.500 0.000
Cd 0.107 0.607 0.500
Cs 0.048 0.246 0.197
Cd 0.614 0.000 0.386
Cs 0.327 0.616 0.711
Cs 0.174 0.262 0.564
Cs 0.327 0.039 0.289
Cs 0.826 0.738 0.436
Cs 0.443 0.246 0.803
Cd 0.893 0.393 0.500
Cd 0.386 0.000 0.614
Cs 0.952 0.754 0.803
Cs 0.174 0.738 0.088
Cs 0.673 0.961 0.711

Calculated values
The density of states at the Fermi level comes out at 6.320 states/eV/f.u. Its total energy is -1.072 eV per atom. As for the formation energy: 17 meV/atom. Its space group is Immm, No. 71. The volume is 1185.22 Å³ per cell.

---

(6)
Density functional theory data (GGA-PBE) for a relaxed structure of Cs2Cd6Ag.

Cell: 7.503 7.503 7.503 Å, 60.00 60.00 60.00°
Atoms (fractional coordinates):
Cd 0.720 0.720 0.280
Cd 0.280 0.280 0.720
Ag 0.000 0.000 0.000
Cd 0.280 0.720 0.280
Cd 0.720 0.280 0.280
Cs 0.750 0.750 0.750
Cd 0.280 0.720 0.720
Cs 0.250 0.250 0.250
Cd 0.720 0.280 0.720

Calculated values
The density of states at the Fermi level comes out at 4.144 states/eV/f.u. Its total energy is -1.076 eV per atom. As for the formation energy: 41 meV/atom. Its space group is Fm-3m, No. 225. The volume is 298.71 Å³ per cell.

---

(7)
Density functional theory data (GGA-PBE) for a relaxed structure of Cs3Cd6Ag5.

Cell: 4.936 13.048 14.668 Å, 90.00 90.00 90.00°
Atoms (fractional coordinates):
Cd 0.500 0.460 0.201
Ag 0.000 0.514 0.899
Ag 0.000 0.902 0.000
Cs 0.500 0.748 0.838
Ag 0.000 0.884 0.668
Ag 0.000 0.514 0.101
Cs 0.000 0.252 0.662
Cd 0.000 0.006 0.829
Ag 0.500 0.486 0.399
Cs 0.500 0.748 0.162
Cd 0.000 0.540 0.701
Cs 0.500 0.746 0.500
Cd 0.000 0.993 0.500
Cd 0.500 0.007 0.000
Ag 0.500 0.098 0.500
Cd 0.500 0.500 0.000
Ag 0.500 0.486 0.601
Cd 0.000 0.540 0.299
Cd 0.000 0.006 0.171
Cd 0.500 0.994 0.671
Cs 0.000 0.252 0.338
Ag 0.500 0.116 0.168
Ag 0.000 0.884 0.332
Ag 0.500 0.116 0.832
Cd 0.000 0.500 0.500
Cd 0.500 0.994 0.329
Cd 0.500 0.460 0.799
Cs 0.000 0.254 0.000

Calculated values
The density of states at the Fermi level comes out at 5.861 states/eV/f.u. Its total energy is -1.581 eV per atom. As for the formation energy: 12 meV/atom. Its space group is Pmmn, No. 59. The volume is 944.65 Å³ per cell.

---

(8)
Density functional theory data (GGA-PBE) for a relaxed structure of Cs2Cd2Ag.

Cell: 9.157 7.984 7.915 Å, 82.51 76.86 55.01°
Atoms (fractional coordinates):
Cd 0.946 0.000 0.342
Cs 0.849 0.662 0.740
Cs 0.511 0.338 0.740
Ag 0.107 0.785 0.000
Ag 0.893 0.215 0.000
Cs 0.151 0.338 0.260
Cs 0.489 0.662 0.260
Cd 0.054 0.000 0.658
Cd 0.291 0.000 0.846
Cd 0.709 0.000 0.154

Calculated values
The density of states at the Fermi level comes out at 2.791 states/eV/f.u. Its total energy is -1.283 eV per atom. As for the formation energy: -5 meV/atom. The energy above the most stable polymorph in this dataset is 2.2 kJ/mol of atoms. Its space group is C2/m, No. 12. The volume is 461.63 Å³ per cell.

---

(9)
Density functional theory data (GGA-PBE) for a relaxed structure of Cs5Cd6Ag.

Cell: 9.605 7.814 9.527 Å, 65.79 79.02 62.33°
Atoms (fractional coordinates):
Cd 0.820 0.960 0.278
Ag 0.000 0.000 0.000
Cs 0.000 0.638 0.724
Cd 0.320 0.050 0.000
Cd 0.820 0.238 0.722
Cd 0.180 0.762 0.278
Cs 0.500 0.216 0.568
Cd 0.680 0.950 0.000
Cd 0.180 0.040 0.722
Cs 0.000 0.362 0.276
Cs 0.500 0.784 0.432
Cs 0.500 0.500 0.000

Calculated values
The density of states at the Fermi level comes out at 8.155 states/eV/f.u. Its total energy is -1.059 eV per atom. As for the formation energy: -9 meV/atom. Its space group is C2/m, No. 12. The volume is 577.52 Å³ per cell.

---

(10)
Density functional theory data (GGA-PBE) for a relaxed structure of CsCd7Ag5.

Cell: 5.635 7.858 7.858 Å, 82.88 68.99 68.99°
Atoms (fractional coordinates):
Ag 0.500 0.501 0.999
Cd 0.648 0.352 0.352
Cd 0.352 0.648 0.648
Cs 0.005 0.995 0.995
Cd 0.994 0.359 0.652
Cd 0.501 0.227 0.770
Ag 0.000 0.501 0.999
Cd 0.501 0.770 0.227
Cd 0.263 0.237 0.237
Ag 0.000 0.999 0.501
Cd 0.994 0.652 0.359
Ag 0.500 0.999 0.501
Ag 0.741 0.759 0.759

Calculated values
The density of states at the Fermi level comes out at 5.071 states/eV/f.u. Its total energy is -1.656 eV per atom. As for the formation energy: -1 meV/atom. Its space group is Imm2, No. 44. The volume is 303.23 Å³ per cell.

---

(11)
Density functional theory data (GGA-PBE) for a relaxed structure of Cs6CdAg3.

Cell: 8.403 11.491 13.815 Å, 111.20 90.00 90.00°
Atoms (fractional coordinates):
Cs 0.455 0.660 0.280
Cs 0.594 0.883 0.645
Cd 0.500 0.500 0.500
Cs 0.913 0.295 0.447
Ag 0.000 0.000 0.500
Cs 0.955 0.840 0.220
Cs 0.406 0.117 0.355
Cs 0.045 0.160 0.780
Cs 0.094 0.617 0.855
Ag 0.743 0.584 0.660
Cs 0.545 0.340 0.720
Cd 0.000 0.000 0.000
Ag 0.257 0.416 0.340
Cs 0.587 0.795 0.947
Ag 0.757 0.084 0.160
Cs 0.413 0.205 0.053
Ag 0.500 0.500 0.000
Cs 0.906 0.383 0.145
Cs 0.087 0.705 0.553
Ag 0.243 0.916 0.840

Calculated values
The density of states at the Fermi level comes out at 6.928 states/eV/f.u. Its total energy is -1.392 eV per atom. As for the formation energy: 67 meV/atom. Its space group is P2_1/c, No. 14. The volume is 1243.64 Å³ per cell.

---

(12)
Density functional theory data (GGA-PBE) for a relaxed structure of CsCd3Ag.

Cell: 6.244 7.909 7.909 Å, 63.22 66.75 66.75°
Atoms (fractional coordinates):
Cd 0.500 0.312 0.188
Ag 0.500 0.000 0.000
Cd 0.000 0.688 0.812
Ag 0.500 0.500 0.500
Cs 0.988 0.762 0.262
Cd 0.671 0.079 0.579
Cd 0.500 0.688 0.812
Cd 0.000 0.312 0.188
Cs 0.012 0.238 0.738
Cd 0.329 0.921 0.421

Calculated values
The density of states at the Fermi level comes out at 1.790 states/eV/f.u. Its total energy is -1.232 eV per atom. As for the formation energy: 58 meV/atom. The energy above the most stable polymorph in this dataset is 4.2 kJ/mol of atoms. Its space group is Imma, No. 74. The volume is 309.00 Å³ per cell.